Entry 1:
PuNpZn: optimized geometry, PBE.

**VASP energy**: -112.697 eV/cell
**Energy of formation**: 124 meV/atom
**Relative energy among the computed polymorphs**: 0 meV/atom

Structure (extended XYZ):
```
12
Lattice="-3.6375 -0.2075 0.0317 0.1172 -3.2001 -7.5001 0.3987 -6.5587 2.8047" Properties=species:S:1:pos:R:3 pbc="T T T"
Zn -0.6641 -4.5530 -1.3131
Zn -2.4576 -5.4134 -3.3506
Zn -0.8906 -0.5313 -0.9756
Zn -2.2310 -9.4351 -3.6882
Pu -0.5108 -7.3945 -2.3279
Pu -2.6108 -2.5719 -2.3359
Pu -0.6790 -4.9636 -5.7188
Pu -2.4426 -5.0027 1.0551
Np -0.7790 -2.9361 -3.9201
Np -2.3426 -7.0303 -0.7437
Np -0.5403 -7.2908 -5.0380
Np -2.5813 -2.6756 0.3743
```

***

Entry 2:
NdSnRu: optimized geometry, PBE.

**VASP energy**: -18.996 eV/cell
**Energy of formation**: -316 meV/atom

Structure (extended XYZ):
```
3
Lattice="3.3857 0.0000 0.0000 0.0000 3.3857 0.0000 -1.6928 -1.6928 5.8338" Properties=species:S:1:pos:R:3 pbc="T T T"
Ru 1.6928 1.6928 5.0632
Nd 1.6929 1.6929 1.1848
Sn 0.0000 0.0000 3.6694
```

***

Entry 3:
In15Bi2Pb2: optimized geometry, PBE.

**VASP energy**: -54.967 eV/cell
**Energy of formation**: 68 meV/atom

Structure (extended XYZ):
```
19
Lattice="-2.4812 5.0438 7.0554 -2.6744 -4.4250 7.3920 5.6256 0.1359 7.0505" Properties=species:S:1:pos:R:3 pbc="T T T"
In -1.3372 -2.2125 3.6960
In 2.8128 0.0679 3.5252
In -1.2406 2.5219 3.5277
In 3.0653 1.6859 7.0520
In -2.5423 2.0534 7.1617
In -0.0531 -2.9845 7.2842
In -2.6134 -1.4345 7.2857
In 3.0043 -1.3045 7.1584
In 0.0791 3.4938 7.0538
In -0.7742 -1.2908 11.9857
In 2.2584 0.3756 11.8609
In -0.7037 2.1689 11.8627
In 1.2441 2.0456 9.5122
In -1.7885 0.3791 9.6370
In 1.1736 -1.4141 9.6352
Bi 0.4297 0.6901 19.6567
Bi 0.0402 0.0646 1.8412
Pb 0.3505 0.5630 16.0375
Pb 0.1194 0.1917 5.4604
```